Material: YSc2W
Method: DFT, GGA-PBE
State: relaxed

Energy relative to the elements (meV/atom): 363
Energy (eV per atom): -7.6576
Size of the total moment (μB/atom): 0.0000

extended XYZ file:
```
16
Lattice="7.0318 0.0000 0.0000 0.0000 7.0318 0.0000 0.0000 0.0000 7.0318" Properties=species:S:1:pos:R:3 pbc="T T T"
Y 0.0000 0.0000 0.0000
Y 0.0000 3.5159 3.5159
Y 3.5159 0.0000 3.5159
Y 3.5159 3.5159 0.0000
Sc 1.7579 1.7579 1.7579
Sc 1.7579 1.7579 5.2738
Sc 1.7579 5.2738 1.7579
Sc 1.7579 5.2738 5.2738
Sc 5.2738 1.7579 1.7579
Sc 5.2738 1.7579 5.2738
Sc 5.2738 5.2738 1.7579
Sc 5.2738 5.2738 5.2738
W 0.0000 0.0000 3.5159
W 0.0000 3.5159 0.0000
W 3.5159 0.0000 0.0000
W 3.5159 3.5159 3.5159
```